Entry 1:
4
Lattice="5.2447 0.0000 0.0000 0.0000 3.1770 0.0000 -1.9523 0.0000 5.0416" Properties=species:S:1:pos:R:3 comment="ZnTcSe2 PBE-GGA optimized geometry" total_magnetization_mub_per_cell=0.4 e_tot_ev_per_cell=-18.3 de_polymorph_mev_per_atom=359.9 sg="P2/m, No. 10" raw_formation_energy_mev_per_atom=80 pbc="T T T"
Zn 0.0000 0.0000 0.0000
Tc 2.6223 0.0000 0.0000
Se 0.5008 1.5885 3.1461
Se 2.7916 1.5885 1.8955


Entry 2:
20
Lattice="14.4987 0.0000 0.0000 0.0000 6.5382 0.0000 0.0000 0.0000 6.8091" Properties=species:S:1:pos:R:3 comment="SrMgBi3 PBE-GGA optimized geometry" delta_e_f_ev_per_atom=-0.386 total_magnetization_mub_per_cell=0.0 e_tot_ev_per_cell=-67.4 de_polymorph_mev_per_atom=0.0 sg="Pbcm, No. 57" pbc="T T T"
Sr 2.7099 0.1016 1.7023
Sr 2.7099 3.1675 5.1069
Sr 11.7888 3.3707 1.7023
Sr 11.7888 6.4366 5.1069
Mg 5.6630 4.9037 0.0000
Mg 5.6630 4.9037 3.4046
Mg 8.8357 1.6346 0.0000
Mg 8.8357 1.6346 3.4046
Bi 0.1101 4.9037 0.0000
Bi 0.1101 4.9037 3.4046
Bi 3.7657 3.3052 1.7023
Bi 3.7657 6.5021 5.1069
Bi 6.2214 1.3053 1.7023
Bi 6.2214 1.9638 5.1069
Bi 8.2773 4.5744 1.7023
Bi 8.2773 5.2330 5.1069
Bi 10.7330 0.0361 1.7023
Bi 10.7330 3.2330 5.1069
Bi 14.3886 1.6346 0.0000
Bi 14.3886 1.6346 3.4046


Entry 3:
7
Lattice="-2.3005 2.3005 9.3341 2.3005 -2.3005 9.3341 2.3005 2.3005 -9.3341" Properties=species:S:1:pos:R:3 comment="NpTl2F4 PBE-GGA optimized geometry" total_magnetization_mub_per_cell=3.6 e_tot_ev_per_cell=-42.0 sg="I4/mmm, No. 139" raw_formation_energy_mev_per_atom=-2409 pbc="T T T"
Np 0.0000 0.0000 0.0000
Tl 0.0000 0.0000 4.7386
Tl 0.0000 0.0000 13.9296
F 2.3005 0.0000 0.0000
F 0.0000 0.0000 2.1774
F 0.0000 2.3005 0.0000
F 0.0000 0.0000 16.4908


Entry 4:
12
Lattice="5.2334 0.0000 0.0000 0.7621 5.1903 0.0000 0.4230 2.5501 6.4444" Properties=species:S:1:pos:R:3 comment="BaCe2RhO8 PBE-GGA optimized geometry" total_magnetization_mub_per_cell=3.0 e_tot_ev_per_cell=-87.1 sg="P-1, No. 2" raw_formation_energy_mev_per_atom=-2195 pbc="T T T"
Ba 0.0000 0.0000 0.0000
Ce 2.8385 2.6107 1.7917
Ce 3.5801 5.1297 4.6527
Rh 0.2115 1.2750 3.2222
O 0.6124 2.2169 1.5230
O 1.9983 4.8701 2.7221
O 1.8548 1.9947 3.9873
O 3.1453 3.8324 0.1415
O 3.2732 3.9080 6.3029
O 4.5637 5.7457 2.4571
O 4.4202 2.8703 3.7222
O 5.8061 5.5235 4.9214


> Which formula does entry 1 have?

ZnTcSe2